Compound: SiRu2C
Source: the Alexandria database
Functional: GGA-PBE
Structure: relaxed

ΔE_f (raw) = 29.60 kJ/mol of atoms
Energy above the lowest structure with this stoichiometry = 0.0 meV/atom
V = 118.7 Å³ per cell
Density of states at the Fermi level = 0.0109 states/eV per atom

The structure in POSCAR format:
```
SiRu2C
1.0
-3.810 1.312 3.014
-3.179 -0.297 -3.889
-4.274 -4.010 0.544
Ru Si C
4 2 2
direct
0.562 0.125 0.250
0.188 0.625 0.250
0.375 0.438 0.750
0.875 0.812 0.750
0.000 0.000 0.000
0.750 0.250 0.500
0.500 0.500 0.000
0.250 0.750 0.500
```